## 1
The following is a DFT calculation (PBE-GGA) of a geometry-optimized BiPt15 structure.

Geometry as CIF:
```
data_BiPt15
_chemical_formula_sum 'Bi2 Pt30'
_symmetry_space_group_name_H-M 'P 1 2/c 1'
_symmetry_Int_Tables_number 13
_cell_length_a 4.839
_cell_length_b 36.287
_cell_length_c 4.838
_cell_angle_alpha 90.00
_cell_angle_beta 109.45
_cell_angle_gamma 90.00
loop_
_symmetry_equiv_pos_as_xyz
'x,y,z'
'-x,-y,-z'
'-x,y,-z+1/2'
'x,-y,z+1/2'
loop_
_atom_site_label
_atom_site_type_symbol
_atom_site_fract_x
_atom_site_fract_y
_atom_site_fract_z
Bi1 Bi 0.000 0.199 0.250
Pt1 Pt 0.000 0.245 0.750
Pt2 Pt 0.000 0.286 0.250
Pt3 Pt 0.000 0.325 0.750
Pt4 Pt 0.000 0.364 0.250
Pt5 Pt 0.000 0.403 0.750
Pt6 Pt 0.000 0.442 0.250
Pt7 Pt 0.000 0.481 0.750
Pt8 Pt 0.500 0.211 0.750
Pt9 Pt 0.500 0.245 0.250
Pt10 Pt 0.500 0.286 0.750
Pt11 Pt 0.500 0.325 0.250
Pt12 Pt 0.500 0.364 0.750
Pt13 Pt 0.500 0.403 0.250
Pt14 Pt 0.500 0.442 0.750
Pt15 Pt 0.500 0.481 0.250
```

## 2
The following is a DFT calculation (PBE-GGA) of a geometry-optimized BiPt15 structure.

Geometry as CIF:
```
data_BiPt15
_chemical_formula_sum 'Bi2 Pt30'
_symmetry_space_group_name_H-M 'P 1 21/m 1'
_symmetry_Int_Tables_number 11
_cell_length_a 5.580
_cell_length_b 2.882
_cell_length_c 44.451
_cell_angle_alpha 90.00
_cell_angle_beta 90.00
_cell_angle_gamma 90.00
loop_
_symmetry_equiv_pos_as_xyz
'x,y,z'
'-x,-y,-z'
'-x,y+1/2,-z'
'x,-y+1/2,z'
loop_
_atom_site_label
_atom_site_type_symbol
_atom_site_fract_x
_atom_site_fract_y
_atom_site_fract_z
Bi1 Bi 0.125 0.250 0.160
Pt1 Pt 0.120 0.250 0.786
Pt2 Pt 0.125 0.250 0.258
Pt3 Pt 0.125 0.250 0.346
Pt4 Pt 0.125 0.250 0.434
Pt5 Pt 0.125 0.250 0.522
Pt6 Pt 0.125 0.250 0.610
Pt7 Pt 0.125 0.250 0.698
Pt8 Pt 0.370 0.750 0.214
Pt9 Pt 0.375 0.750 0.302
Pt10 Pt 0.375 0.750 0.390
Pt11 Pt 0.375 0.750 0.478
Pt12 Pt 0.375 0.750 0.566
Pt13 Pt 0.375 0.750 0.654
Pt14 Pt 0.375 0.750 0.742
Pt15 Pt 0.375 0.750 0.829
```

## 3
The following is a DFT calculation (PBE-GGA) of a geometry-optimized BiPt15 structure.

Geometry as CIF:
```
data_BiPt15
_chemical_formula_sum 'Bi2 Pt30'
_symmetry_space_group_name_H-M 'P m m a'
_symmetry_Int_Tables_number 51
_cell_length_a 3.963
_cell_length_b 3.963
_cell_length_c 45.338
_cell_angle_alpha 90.00
_cell_angle_beta 90.00
_cell_angle_gamma 90.00
loop_
_symmetry_equiv_pos_as_xyz
'x,y,z'
'-x,-y,-z'
'-x+1/2,-y,z'
'x+1/2,y,-z'
'x+1/2,-y,-z'
'-x+1/2,y,z'
'-x,y,-z'
'x,-y,z'
loop_
_atom_site_label
_atom_site_type_symbol
_atom_site_fract_x
_atom_site_fract_y
_atom_site_fract_z
Bi1 Bi 0.250 0.000 0.158
Pt1 Pt 0.250 0.000 0.259
Pt2 Pt 0.250 0.000 0.346
Pt3 Pt 0.250 0.000 0.434
Pt4 Pt 0.250 0.000 0.522
Pt5 Pt 0.250 0.000 0.610
Pt6 Pt 0.250 0.000 0.698
Pt7 Pt 0.250 0.000 0.786
Pt8 Pt 0.250 0.500 0.214
Pt9 Pt 0.250 0.500 0.302
Pt10 Pt 0.250 0.500 0.390
Pt11 Pt 0.250 0.500 0.478
Pt12 Pt 0.250 0.500 0.566
Pt13 Pt 0.250 0.500 0.654
Pt14 Pt 0.250 0.500 0.742
Pt15 Pt 0.250 0.500 0.829
```

Which of them is the most stable, and which is the least stable? 3 and 2, in that order.

## 1
The following is a DFT calculation (PBE-GGA) of a geometry-optimized RbBiPt structure.

Geometry as CIF:
```
data_RbBiPt
_chemical_formula_sum 'Rb4 Bi4 Pt4'
_symmetry_space_group_name_H-M 'F -4 3 m'
_symmetry_Int_Tables_number 216
_symmetry_space_group_name_Hall 'F -4 2 3'
_cell_length_a 7.210
_cell_length_b 7.210
_cell_length_c 7.210
_cell_angle_alpha 90.00
_cell_angle_beta 90.00
_cell_angle_gamma 90.00
loop_
_atom_site_label
_atom_site_type_symbol
_atom_site_fract_x
_atom_site_fract_y
_atom_site_fract_z
Rb1 Rb 0.000 0.000 0.000
Bi1 Bi 0.000 0.000 0.500
Pt1 Pt 0.250 0.250 0.750
```

## 2
The following is a DFT calculation (PBE-GGA) of a geometry-optimized RbBiPt structure.

Geometry as CIF:
```
data_RbBiPt
_chemical_formula_sum 'Rb4 Bi4 Pt4'
_symmetry_space_group_name_H-M 'C 1 2/m 1'
_symmetry_Int_Tables_number 12
_cell_length_a 12.942
_cell_length_b 4.764
_cell_length_c 6.657
_cell_angle_alpha 90.00
_cell_angle_beta 100.06
_cell_angle_gamma 90.00
loop_
_symmetry_equiv_pos_as_xyz
'x,y,z'
'-x,-y,-z'
'-x,y,-z'
'x,-y,z'
'x+1/2,y+1/2,z'
'-x+1/2,-y+1/2,-z'
'-x+1/2,y+1/2,-z'
'x+1/2,-y+1/2,z'
loop_
_atom_site_label
_atom_site_type_symbol
_atom_site_fract_x
_atom_site_fract_y
_atom_site_fract_z
Rb1 Rb 0.125 0.000 0.355
Bi1 Bi 0.099 0.500 0.857
Pt1 Pt 0.203 0.000 0.904
```

## 3
The following is a DFT calculation (PBE-GGA) of a geometry-optimized RbBiPt structure.

Geometry as CIF:
```
data_RbBiPt
_chemical_formula_sum 'Rb4 Bi4 Pt4'
_symmetry_space_group_name_H-M 'F -4 3 m'
_symmetry_Int_Tables_number 216
_symmetry_space_group_name_Hall 'F -4 2 3'
_cell_length_a 7.411
_cell_length_b 7.411
_cell_length_c 7.411
_cell_angle_alpha 90.00
_cell_angle_beta 90.00
_cell_angle_gamma 90.00
loop_
_atom_site_label
_atom_site_type_symbol
_atom_site_fract_x
_atom_site_fract_y
_atom_site_fract_z
Rb1 Rb 0.000 0.000 0.000
Bi1 Bi 0.250 0.250 0.750
Pt1 Pt 0.250 0.250 0.250
```

Which of them is the most stable, and which is the least stable? 2 and 3, in that order.

## 1
The following is a DFT calculation (PBE-GGA) of a geometry-optimized Tm3Zr3Bi2Pt structure.

Geometry as CIF:
```
data_Tm3Zr3Bi2Pt
_chemical_formula_sum 'Tm3 Zr3 Bi2 Pt1'
_symmetry_space_group_name_H-M 'P -6 2 m'
_symmetry_Int_Tables_number 189
_symmetry_space_group_name_Hall 'P -6 -2'
_cell_length_a 8.2153
_cell_length_b 8.2153
_cell_length_c 3.7874
_cell_angle_alpha 90.00
_cell_angle_beta 90.00
_cell_angle_gamma 120.00
loop_
_atom_site_label
_atom_site_type_symbol
_atom_site_fract_x
_atom_site_fract_y
_atom_site_fract_z
Tm1 Tm 0.0000 0.2498 0.0000
Zr1 Zr 0.0000 0.6005 0.5000
Bi1 Bi 0.3333 0.6667 0.0000
Pt1 Pt 0.0000 0.0000 0.5000
```

## 2
The following is a DFT calculation (PBE-GGA) of a geometry-optimized Tm3Zr3Bi2Pt structure.

Geometry as CIF:
```
data_Tm3Zr3Bi2Pt
_chemical_formula_sum 'Tm3 Zr3 Bi2 Pt1'
_symmetry_space_group_name_H-M 'P -6 2 m'
_symmetry_Int_Tables_number 189
_symmetry_space_group_name_Hall 'P -6 -2'
_cell_length_a 8.0564
_cell_length_b 8.0564
_cell_length_c 4.0319
_cell_angle_alpha 90.00
_cell_angle_beta 90.00
_cell_angle_gamma 120.00
loop_
_atom_site_label
_atom_site_type_symbol
_atom_site_fract_x
_atom_site_fract_y
_atom_site_fract_z
Tm1 Tm 0.0000 0.6081 0.0000
Zr1 Zr 0.0000 0.2345 0.5000
Bi1 Bi 0.3333 0.6667 0.5000
Pt1 Pt 0.0000 0.0000 0.0000
```

Which of them is the most stable, and which is the least stable? 2 and 1, in that order.

## 1
The following is a DFT calculation (PBE-GGA) of a geometry-optimized RbTaBi structure.

Geometry as CIF:
```
data_RbTaBi
_chemical_formula_sum 'Rb4 Ta4 Bi4'
_symmetry_space_group_name_H-M 'F -4 3 m'
_symmetry_Int_Tables_number 216
_symmetry_space_group_name_Hall 'F -4 2 3'
_cell_length_a 7.374
_cell_length_b 7.374
_cell_length_c 7.374
_cell_angle_alpha 90.00
_cell_angle_beta 90.00
_cell_angle_gamma 90.00
loop_
_atom_site_label
_atom_site_type_symbol
_atom_site_fract_x
_atom_site_fract_y
_atom_site_fract_z
Rb1 Rb 0.000 0.000 0.000
Ta1 Ta 0.250 0.250 0.750
Bi1 Bi 0.000 0.000 0.500
```

## 2
The following is a DFT calculation (PBE-GGA) of a geometry-optimized RbTaBi structure.

Geometry as CIF:
```
data_RbTaBi
_chemical_formula_sum 'Rb4 Ta4 Bi4'
_symmetry_space_group_name_H-M 'F -4 3 m'
_symmetry_Int_Tables_number 216
_symmetry_space_group_name_Hall 'F -4 2 3'
_cell_length_a 7.586
_cell_length_b 7.586
_cell_length_c 7.586
_cell_angle_alpha 90.00
_cell_angle_beta 90.00
_cell_angle_gamma 90.00
loop_
_atom_site_label
_atom_site_type_symbol
_atom_site_fract_x
_atom_site_fract_y
_atom_site_fract_z
Rb1 Rb 0.000 0.000 0.000
Ta1 Ta 0.250 0.250 0.250
Bi1 Bi 0.250 0.250 0.750
```

Which of them is the most stable, and which is the least stable? 1 and 2, in that order.

## 1
The following is a DFT calculation (PBE-GGA) of a geometry-optimized RbTcBi structure.

Geometry as CIF:
```
data_RbTcBi
_chemical_formula_sum 'Rb4 Tc4 Bi4'
_symmetry_space_group_name_H-M 'F -4 3 m'
_symmetry_Int_Tables_number 216
_symmetry_space_group_name_Hall 'F -4 2 3'
_cell_length_a 7.678
_cell_length_b 7.678
_cell_length_c 7.678
_cell_angle_alpha 90.00
_cell_angle_beta 90.00
_cell_angle_gamma 90.00
loop_
_atom_site_label
_atom_site_type_symbol
_atom_site_fract_x
_atom_site_fract_y
_atom_site_fract_z
Rb1 Rb 0.000 0.000 0.000
Tc1 Tc 0.250 0.250 0.250
Bi1 Bi 0.250 0.250 0.750
```

## 2
The following is a DFT calculation (PBE-GGA) of a geometry-optimized RbTcBi structure.

Geometry as CIF:
```
data_RbTcBi
_chemical_formula_sum 'Rb4 Tc4 Bi4'
_symmetry_space_group_name_H-M 'F -4 3 m'
_symmetry_Int_Tables_number 216
_symmetry_space_group_name_Hall 'F -4 2 3'
_cell_length_a 6.998
_cell_length_b 6.998
_cell_length_c 6.998
_cell_angle_alpha 90.00
_cell_angle_beta 90.00
_cell_angle_gamma 90.00
loop_
_atom_site_label
_atom_site_type_symbol
_atom_site_fract_x
_atom_site_fract_y
_atom_site_fract_z
Rb1 Rb 0.000 0.000 0.000
Tc1 Tc 0.250 0.250 0.750
Bi1 Bi 0.000 0.000 0.500
```

Which of them is the most stable, and which is the least stable? 2 and 1, in that order.

## 1
The following is a DFT calculation (PBE-GGA) of a geometry-optimized ScReBi structure.

Geometry as CIF:
```
data_ScReBi
_chemical_formula_sum 'Sc4 Re4 Bi4'
_symmetry_space_group_name_H-M 'F -4 3 m'
_symmetry_Int_Tables_number 216
_symmetry_space_group_name_Hall 'F -4 2 3'
_cell_length_a 6.532
_cell_length_b 6.532
_cell_length_c 6.532
_cell_angle_alpha 90.00
_cell_angle_beta 90.00
_cell_angle_gamma 90.00
loop_
_atom_site_label
_atom_site_type_symbol
_atom_site_fract_x
_atom_site_fract_y
_atom_site_fract_z
Sc1 Sc 0.000 0.000 0.000
Re1 Re 0.250 0.250 0.750
Bi1 Bi 0.000 0.000 0.500
```

## 2
The following is a DFT calculation (PBE-GGA) of a geometry-optimized ScReBi structure.

Geometry as CIF:
```
data_ScReBi
_chemical_formula_sum 'Sc4 Re4 Bi4'
_symmetry_space_group_name_H-M 'F -4 3 m'
_symmetry_Int_Tables_number 216
_symmetry_space_group_name_Hall 'F -4 2 3'
_cell_length_a 6.550
_cell_length_b 6.550
_cell_length_c 6.550
_cell_angle_alpha 90.00
_cell_angle_beta 90.00
_cell_angle_gamma 90.00
loop_
_atom_site_label
_atom_site_type_symbol
_atom_site_fract_x
_atom_site_fract_y
_atom_site_fract_z
Sc1 Sc 0.000 0.000 0.000
Re1 Re 0.250 0.250 0.250
Bi1 Bi 0.250 0.250 0.750
```

Which of them is the most stable, and which is the least stable? 1 and 2, in that order.